1.
Tl2NiW: optimized geometry, PBE.

Geometry as POSCAR:
```
Tl2NiW
1.0
-1.6257 2.4770 0.0242
-0.8788 -0.6038 2.7644
6.5399 4.2631 3.0103
Tl W Ni
2 1 1
Direct
0.0000 0.0000 0.5243
0.0000 0.0000 0.9757
0.5000 0.5000 0.2500
0.5000 0.5000 0.7500
```

Output
total magnetization: 0.00 μB/f.u.
space-group type: No. 123
energy of formation: 0.85 eV per atom


2.
YHo4Te5: optimized geometry, PBE.

Geometry as POSCAR:
```
YHo4Te5
1.0
4.3042 0.0000 0.0000
0.0000 4.3042 0.0000
-2.1521 -2.1521 15.6786
Ho Te Y
4 5 1
Direct
0.7904 0.7904 0.5808
0.4061 0.4061 0.8122
0.2096 0.2096 0.4192
0.5939 0.5939 0.1878
0.8966 0.8966 0.7932
0.3066 0.3066 0.6132
0.5000 0.5000 0.0000
0.6934 0.6934 0.3868
0.1034 0.1034 0.2068
0.0000 0.0000 0.0000
```

Output
total magnetization: 0.00 μB/f.u.
space-group type: No. 139
E: -53.1 eV/cell


3.
H5Pd5Pb: optimized geometry, PBE.

Geometry as POSCAR:
```
H5Pd5Pb
1.0
4.7502 2.2105 -2.2774
2.3174 6.2884 -2.5569
-1.0528 -1.5090 5.8578
Pd Pb H
5 1 5
Direct
0.7350 0.2655 0.6345
0.5208 0.9835 0.0078
0.3171 0.7108 0.3768
0.1524 0.4276 0.7693
0.9069 0.5471 0.2492
0.9972 0.0115 0.0188
0.2275 0.0649 0.6548
0.8189 0.9128 0.3642
0.2690 0.4639 0.5870
0.7796 0.5763 0.8962
0.7755 0.5361 0.4415
```

Output
total magnetization: 0.00 μB/f.u.
space-group type: No. 1
E: -47.6 eV/cell


- Number 1 is which compound?
  Tl2NiW